Record 1
The following is a DFT calculation (SCAN) of Zn2CrHg at its PBEsol-relaxed geometry.

a b c (Å): 3.895 4.007 4.929
angles (deg): 113.98 113.27 90.00
Atoms (fractional coordinates):
Hg 0.251 0.751 0.502
Zn 0.748 0.248 0.497
Zn 0.002 0.002 0.004
Cr 0.499 0.499 0.998

Polymorph energy (0 for the lowest one) = 0 meV per atom
Calculated density = 10.04 Mg/m³
Raw total energy = -28.325 eV/atom
V = 15.85 Å³/atom



Record 2
The following is a DFT calculation (SCAN) of Zn2CrHg at its PBEsol-relaxed geometry.

a b c (Å): 2.780 2.780 9.306
angles (deg): 81.41 81.41 60.00
Atoms (fractional coordinates):
Cr 0.500 0.500 0.500
Zn 0.760 0.760 0.719
Zn 0.240 0.240 0.281
Hg 0.000 0.000 0.000

Polymorph energy (0 for the lowest one) = 332 meV per atom
Calculated density = 10.38 Mg/m³
Raw total energy = -27.994 eV/atom
V = 15.34 Å³/atom



Record 3
The following is a DFT calculation (SCAN) of Zn3CrHg at its PBEsol-relaxed geometry.

a b c (Å): 4.861 4.861 4.861
angles (deg): 90.00 90.00 90.00
Atoms (fractional coordinates):
Zn 0.000 0.500 0.000
Hg 0.000 0.000 0.000
Cr 0.500 0.500 0.500
Zn 0.000 0.000 0.500
Zn 0.500 0.000 0.000

Calculated density = 6.49 Mg/m³
Raw total energy = -24.717 eV/atom
V = 22.97 Å³/atom



Record 4
The following is a DFT calculation (SCAN) of Zn2CrHg at its PBEsol-relaxed geometry.

a b c (Å): 2.899 4.163 5.429
angles (deg): 90.00 105.41 90.00
Atoms (fractional coordinates):
Hg 0.571 0.500 0.769
Zn 0.190 0.000 0.006
Zn 0.322 0.500 0.267
Cr 0.917 0.000 0.458

Polymorph energy (0 for the lowest one) = 43 meV per atom
Calculated density = 10.08 Mg/m³
Raw total energy = -28.282 eV/atom
V = 15.79 Å³/atom



Record 5
The following is a DFT calculation (SCAN) of ZrCr2Hg at its PBEsol-relaxed geometry.

a b c (Å): 4.539 4.539 4.539
angles (deg): 60.00 60.00 60.00
Atoms (fractional coordinates):
Cr 0.750 0.750 0.750
Hg 0.000 0.000 0.000
Zr 0.500 0.500 0.500
Cr 0.250 0.250 0.250

Calculated density = 9.94 Mg/m³
Raw total energy = -33.730 eV/atom
V = 16.53 Å³/atom



Record 6
The following is a DFT calculation (SCAN) of ZrCrHg4 at its PBEsol-relaxed geometry.

a b c (Å): 5.588 5.588 5.588
angles (deg): 60.00 60.00 60.00
Atoms (fractional coordinates):
Zr 0.750 0.750 0.750
Hg 0.375 0.375 0.375
Hg 0.875 0.375 0.375
Cr 0.000 0.000 0.000
Hg 0.375 0.375 0.875
Hg 0.375 0.875 0.375

Calculated density = 12.73 Mg/m³
Raw total energy = -53.320 eV/atom
V = 20.56 Å³/atom